A relaxed structure of LaTa, computed with GGA-PBE.

Unit cell a=3.1569 b=3.1569 c=11.3034 alpha=90.00 beta=90.00 gamma=120.00
Last column: nearest neighbours and their distance in Å.
Space group P6_3/mmc (No. 194)
One atom of each set of equivalent atoms:
La 0.0000 0.0000 0.0000 [2 per cell]  6 La 3.16, 6 Ta 3.36
Ta 0.3333 0.6667 0.2500 [2 per cell]  6 Ta 3.16, 6 La 3.36

## Properties
Energy above the most stable polymorph in this dataset (kcal/mol of atoms): 10.39
Total magnetization (μB/f.u.): 0.00
Calculated formation energy (eV/atom): 0.73

=====

A relaxed structure of Ta2TcP, computed with GGA-PBE.

Unit cell a=3.3330 b=4.8045 c=7.9704 alpha=90.00 beta=90.00 gamma=90.00
Last column: nearest neighbours and their distance in Å.
Space group Immm (No. 71)
One atom of each set of equivalent atoms:
Ta 0.0000 0.0000 0.2362 [4 per cell]  2 P 2.51, 2 Tc 2.68
Tc 0.0000 0.5000 0.0000 [2 per cell]  4 Ta 2.68, 4 P 2.92
P 0.0000 0.5000 0.5000 [2 per cell]  4 Ta 2.51

## Properties
Total magnetization (μB/f.u.): 0.00
Calculated formation energy (eV/atom): -0.24

=====

A relaxed structure of Mn2In2I, computed with GGA-PBE.

Unit cell a=3.1594 b=3.1594 c=25.7744 alpha=90.00 beta=90.00 gamma=90.00
Last column: nearest neighbours and their distance in Å.
Space group I4/mmm (No. 139)
One atom of each set of equivalent atoms:
Mn 0.0000 0.5000 0.2500 [4 per cell]  4 Mn 2.23
In 0.0000 0.0000 0.1554 [4 per cell]  4 Mn 2.91, 4 In 3.16
I 0.0000 0.0000 0.5000 [2 per cell]  4 I 3.16

## Properties
Energy above the most stable polymorph in this dataset (kcal/mol of atoms): 3.98
Total magnetization (μB/f.u.): 0.00
Formation energy without anion corrections (eV per atom): 0.503

=====

A relaxed structure of CePr2Zr, computed with GGA-PBE.

Unit cell a=4.9830 b=4.9830 c=4.9332 alpha=90.00 beta=90.00 gamma=90.00
Last column: nearest neighbours and their distance in Å.
Space group P4/mmm (No. 123)
One atom of each set of equivalent atoms:
Ce 0.0000 0.0000 0.0000 [1 per cell]  8 Pr 3.51, 4 Zr 3.52
Pr 0.0000 0.5000 0.5000 [2 per cell]  4 Zr 3.51, 4 Ce 3.51, 4 Pr 3.52
Zr 0.5000 0.5000 0.0000 [1 per cell]  8 Pr 3.51, 4 Ce 3.52

## Properties
Energy above the most stable polymorph in this dataset (kcal/mol of atoms): 0.00
Total magnetization (μB/f.u.): 0.69
Calculated formation energy (eV/atom): 0.19

=====

A relaxed structure of SmEr3S6, computed with GGA-PBE.

Unit cell a=10.9993 b=3.9486 c=11.2652 alpha=90.00 beta=108.78 gamma=90.00
Last column: nearest neighbours and their distance in Å.
Space group P2_1/m (No. 11)
One atom of each set of equivalent atoms:
Sm 0.0472 0.2500 0.1935 [2 per cell]  8 S 2.86-3.02
Er 0.1608 0.2500 0.5857 [2 per cell]  6 S 2.64-2.77
Er 0.3190 0.7500 0.9979 [2 per cell]  7 S 2.67-2.91
Er 0.4379 0.2500 0.3323 [2 per cell]  6 S 2.65-2.76
S 0.0821 0.7500 0.4047 [2 per cell]  3 Er 2.71-2.77, 2 Sm 3.02
S 0.1158 0.2500 0.9633 [2 per cell]  3 Sm 2.86-2.92, 2 Er 2.91
S 0.1950 0.7500 0.7490 [2 per cell]  3 Er 2.64-2.69, 1 Sm 2.94
S 0.2612 0.7500 0.2263 [2 per cell]  3 Er 2.76-2.84, 2 Sm 3.00
S 0.3960 0.2500 0.5605 [2 per cell]  4 Er 2.69-2.75
S 0.4775 0.2500 0.1120 [2 per cell]  4 Er 2.65-2.89

## Properties
Total magnetization (μB/f.u.): 0.00
Formation energy without anion corrections (eV per atom): -2.085

=====

A relaxed structure of LiLaTe2, computed with GGA-PBE.

Unit cell a=6.3886 b=6.3886 c=12.7379 alpha=90.00 beta=90.00 gamma=90.00
Last column: nearest neighbours and their distance in Å.
Space group I4_1/amd (No. 141, origin choice 2)
One atom of each set of equivalent atoms:
Li 0.0000 0.2500 0.3750 [4 per cell]  6 Te 3.15-3.19
La 0.0000 0.2500 0.8750 [4 per cell]  6 Te 3.19-3.21
Te 0.0000 0.2500 0.1274 [8 per cell]  3 Li 3.15-3.19, 3 La 3.19-3.21

## Properties
Total magnetization (μB/f.u.): 0.00
Formation energy without anion corrections (eV per atom): -1.351

=====

A relaxed structure of Hg2Pd7Pt, computed with GGA-PBE.

Unit cell a=8.4529 b=16.3213 c=2.7732 alpha=90.00 beta=90.00 gamma=90.00
Last column: nearest neighbours and their distance in Å.
Space group Cmmm (No. 65)
One atom of each set of equivalent atoms:
Hg 0.0000 0.1800 0.0000 [4 per cell]  5 Pd 2.76-2.94, 2 Hg 2.77
Pd 0.0000 0.0000 0.0000 [2 per cell]  6 Pd 2.69-2.77, 2 Hg 2.94
Pd 0.0000 0.3272 0.5000 [4 per cell]  6 Pd 2.76-2.77, 2 Hg 2.77, 1 Pt 2.82
Pd 0.2280 0.4140 0.0000 [8 per cell]  6 Pd 2.69-2.81, 2 Pt 2.76, 1 Hg 2.76
Pt 0.0000 0.5000 0.5000 [2 per cell]  10 Pd 2.76-2.82, 2 Pt 2.77

## Properties
Total magnetization (μB/f.u.): 0.00
Calculated formation energy (eV/atom): 0.20

=====

A relaxed structure of ReW2Au, computed with GGA-PBE.

Unit cell a=9.3002 b=2.9374 c=4.8356 alpha=90.00 beta=101.74 gamma=90.00
Last column: nearest neighbours and their distance in Å.
Space group Cm (No. 8)
One atom of each set of equivalent atoms:
Re 0.0000 0.0000 0.0000 [2 per cell]  7 W 2.73-2.86, 3 Au 2.84-2.86, 2 Re 2.94
W 0.2427 0.5000 0.2298 [2 per cell]  3 Re 2.73-2.84, 5 W 2.81-2.94, 4 Au 2.81-2.84
W 0.4909 0.0000 0.4888 [2 per cell]  3 Au 2.78-2.83, 4 Re 2.80-2.86, 5 W 2.81-2.94
Au 0.2454 0.0000 0.7342 [2 per cell]  7 W 2.78-2.84, 3 Re 2.84-2.86, 2 Au 2.94

## Properties
Energy above the most stable polymorph in this dataset (kcal/mol of atoms): 2.14
Total magnetization (μB/f.u.): 0.00
Calculated formation energy (eV/atom): 0.36